TbZrGa6: optimized geometry, PBE.

Geometry as POSCAR:
```
TbZrGa6
1.0
4.2107 0.0000 0.0000
0.0000 4.2107 0.0000
0.0000 0.0000 8.4165
Tb Zr Ga
1 1 6
Cartesian
0.0000 0.0000 0.0000 Tb
0.0000 0.0000 4.2083 Zr
0.0000 2.1053 2.1657 Ga
0.0000 2.1053 6.2508 Ga
2.1053 0.0000 2.1657 Ga
2.1053 0.0000 6.2508 Ga
2.1053 2.1053 0.0000 Ga
2.1053 2.1053 4.2083 Ga
```

Output
Its space group is P4/mmm (123). The uncorrected energy comes out at -4.421 eV per atom. The crystal system is tetragonal.

***

DyAgC2O6: optimized geometry, PBE.

Geometry as POSCAR:
```
DyAgC2O6
1.0
4.7056 -4.3676 0.0000
4.7056 4.3676 0.0000
-3.5800 0.0000 6.3204
Dy Ag C O
2 2 4 12
Cartesian
2.0206 3.6176 4.7403 Dy
3.8106 -3.6176 1.5801 Dy
3.8106 0.6567 1.5801 Ag
2.0206 -0.6567 4.7403 Ag
-0.5081 1.1927 4.9131 C
1.2819 -1.1927 1.7528 C
4.5492 1.1927 4.5676 C
6.3392 -1.1927 1.4074 C
2.4292 3.3692 2.4330 O
0.4875 1.9733 4.8492 O
5.1919 3.3692 0.7272 O
-0.8321 0.4988 5.9719 O
0.9579 -0.4988 2.8116 O
3.5537 1.9733 4.6315 O
2.2775 -1.9733 1.6890 O
4.8732 0.4988 3.5088 O
6.6632 -0.4988 0.3486 O
0.6392 -3.3692 5.5933 O
5.3437 -1.9733 1.4712 O
3.4019 -3.3692 3.8874 O
```

Output
Its space group is C2/c (15). The crystal system is monoclinic. The calculation puts the uncorrected formation energy at -1.7975 eV per atom.

***

CsK2Si: optimized geometry, PBE.

Geometry as POSCAR:
```
CsK2Si
1.0
0.0000 4.3238 4.3238
4.3238 0.0000 4.3238
4.3238 4.3238 0.0000
Cs K Si
1 2 1
Cartesian
0.0000 0.0000 0.0000 Cs
2.1619 2.1619 2.1619 K
6.4857 6.4857 6.4857 K
4.3238 4.3238 4.3238 Si
```

Output
Its space group is Fm-3m (225). The crystal system is cubic. The calculation puts the uncorrected formation energy at 0.3094 eV per atom.

***

Sm6Dy2Y3Tl: optimized geometry, PBE.

Geometry as POSCAR:
```
Sm6Dy2Y3Tl
1.0
3.0921 -5.3624 0.0000
3.0921 5.3624 0.0000
-2.0726 0.0000 11.5820
Sm Dy Y Tl
6 2 3 1
Cartesian
-0.0231 1.7625 8.6538 Sm
0.9982 0.0000 2.9168 Sm
-0.0231 -1.7625 8.6538 Sm
4.1347 1.7625 2.9282 Sm
3.1134 0.0000 8.6652 Sm
4.1347 -1.7625 2.9282 Sm
2.0558 1.7858 5.7910 Dy
2.0558 -1.7858 5.7910 Dy
3.0921 3.5700 0.0000 Y
3.0921 0.0000 0.0000 Y
3.0921 -3.5700 0.0000 Y
-1.0363 0.0000 5.7910 Tl
```

Output
Its space group is C2/m (12). The uncorrected energy comes out at -4.952 eV per atom. The crystal system is monoclinic.

***

LaCu2: optimized geometry, PBE.

Geometry as POSCAR:
```
LaCu2
1.0
0.0000 3.3990 3.3990
3.3990 0.0000 3.3990
3.3990 3.3990 0.0000
La Cu
1 2
Cartesian
0.0000 0.0000 0.0000 La
1.6995 1.6995 1.6995 Cu
5.0984 5.0984 5.0984 Cu
```

Output
Its space group is Fm-3m (225). The uncorrected energy comes out at -3.997 eV per atom. The crystal system is cubic.

***

LiTl: optimized geometry, PBE.

Geometry as POSCAR:
```
LiTl
1.0
4.8516 0.0000 0.0000
-2.4258 4.2016 0.0000
0.0000 0.0000 5.4946
Li Tl
2 2
Cartesian
0.0000 2.8011 1.3737 Li
2.4258 1.4005 4.1210 Li
0.0000 2.8011 4.1210 Tl
2.4258 1.4005 1.3737 Tl
```

Output
Its space group is P6_3/mmc (194). The uncorrected energy comes out at -1.999 eV per atom. The crystal system is hexagonal.